(A)
Entry from the Alexandria database: an optimized crystal structure of Li3CoPCO7 (GGA-PBEsol).

## Properties
Theoretical density, g cm⁻³: 3.06
D(E_F), states/eV/cell: 4.6
Spin magnetization, μB per formula unit: 3.00

abc: 4.801 6.272 8.459
angles: 90.00 92.67 90.00
Fractional positions:
Li 0.217 0.000 0.205
Li 0.227 0.219 0.865
Li 0.267 0.664 0.610
Li 0.733 0.164 0.390
Li 0.773 0.719 0.135
Li 0.783 0.500 0.795
Co 0.232 0.473 0.251
Co 0.768 0.973 0.749
P 0.290 0.718 0.917
P 0.710 0.218 0.083
C 0.251 0.162 0.540
C 0.749 0.662 0.460
O 0.010 0.651 0.432
O 0.149 0.910 0.832
O 0.196 0.521 0.819
O 0.214 0.718 0.093
O 0.324 0.194 0.394
O 0.388 0.243 0.088
O 0.443 0.149 0.650
O 0.557 0.649 0.350
O 0.612 0.743 0.912
O 0.676 0.694 0.606
O 0.786 0.218 0.907
O 0.804 0.021 0.181
O 0.851 0.410 0.168
O 0.990 0.151 0.568

(B)
Entry from the Alexandria database: an optimized crystal structure of Li3CoPCO7 (GGA-PBEsol).

## Properties
Theoretical density, g cm⁻³: 3.03
D(E_F), states/eV/cell: 10.5
Spin magnetization, μB per formula unit: 3.00

abc: 4.907 6.286 8.388
angles: 90.00 96.12 90.00
Fractional positions:
Li 0.206 0.250 0.105
Li 0.267 0.512 0.725
Li 0.267 0.988 0.725
Li 0.733 0.012 0.275
Li 0.733 0.488 0.275
Li 0.794 0.750 0.895
Co 0.211 0.750 0.329
Co 0.789 0.250 0.671
P 0.271 0.250 0.412
P 0.729 0.750 0.588
C 0.323 0.750 0.040
C 0.677 0.250 0.960
O 0.070 0.750 0.068
O 0.163 0.250 0.576
O 0.165 0.060 0.303
O 0.165 0.440 0.303
O 0.394 0.750 0.896
O 0.410 0.750 0.566
O 0.493 0.250 0.836
O 0.507 0.750 0.164
O 0.590 0.250 0.434
O 0.606 0.250 0.104
O 0.835 0.560 0.697
O 0.835 0.940 0.697
O 0.837 0.750 0.424
O 0.930 0.250 0.932

Which structure is the most stable? The one labeled (B).

(A)
Entry from the Alexandria database: an optimized crystal structure of CrC3 (GGA-PBEsol).

## Properties
Theoretical density, g cm⁻³: 5.11
D(E_F), states/eV/cell: 2.1
Spin magnetization, μB per formula unit: 0.00

abc: 3.319 3.319 2.598
angles: 90.00 90.00 90.00
Fractional positions:
Cr 0.000 0.000 0.000
C 0.000 0.500 0.500
C 0.500 0.000 0.500
C 0.500 0.500 0.000

(B)
Entry from the Alexandria database: an optimized crystal structure of CrC3 (GGA-PBEsol).

## Properties
Theoretical density, g cm⁻³: 4.60
D(E_F), states/eV/cell: 4.0
Spin magnetization, μB per formula unit: 0.60

abc: 4.127 4.127 4.305
angles: 90.00 90.00 120.00
Fractional positions:
Cr 0.333 0.667 0.250
Cr 0.667 0.333 0.750
C 0.214 0.428 0.750
C 0.214 0.786 0.750
C 0.428 0.214 0.250
C 0.572 0.786 0.750
C 0.786 0.214 0.250
C 0.786 0.572 0.250

Which structure is the most stable? The one labeled (B).

(A)
Entry from the Alexandria database: an optimized crystal structure of CrC3Se (GGA-PBEsol).

## Properties
Theoretical density, g cm⁻³: 4.94
D(E_F), states/eV/cell: 3.2
Spin magnetization, μB per formula unit: 3.29

abc: 3.830 3.830 3.830
angles: 90.00 90.00 90.00
Fractional positions:
Cr 0.000 0.000 0.000
C 0.000 0.500 0.500
C 0.500 0.000 0.500
C 0.500 0.500 0.000
Se 0.500 0.500 0.500

(B)
Entry from the Alexandria database: an optimized crystal structure of CrC3Se (GGA-PBEsol).

## Properties
Theoretical density, g cm⁻³: 4.83
D(E_F), states/eV/cell: 3.6
Spin magnetization, μB per formula unit: 0.01

abc: 3.856 3.856 3.856
angles: 90.00 90.00 90.00
Fractional positions:
Cr 0.000 0.000 0.000
C 0.000 0.000 0.500
C 0.000 0.500 0.000
C 0.500 0.000 0.000
Se 0.500 0.500 0.500

Which structure is the most stable? The one labeled (B).

(A)
Entry from the Alexandria database: an optimized crystal structure of CuC2 (GGA-PBEsol).

## Properties
Theoretical density, g cm⁻³: 5.92
D(E_F), states/eV/cell: 3.0
Spin magnetization, μB per formula unit: 0.00

abc: 4.112 4.112 4.112
angles: 60.00 60.00 60.00
Fractional positions:
Cu 0.125 0.125 0.125
Cu 0.875 0.875 0.875
C 0.000 0.500 0.500
C 0.500 0.000 0.500
C 0.500 0.500 0.000
C 0.500 0.500 0.500

(B)
Entry from the Alexandria database: an optimized crystal structure of CuC2 (GGA-PBEsol).

## Properties
Theoretical density, g cm⁻³: 4.39
D(E_F), states/eV/cell: 0.5
Spin magnetization, μB per formula unit: 0.00

abc: 6.548 6.548 6.548
angles: 21.53 21.53 21.53
Fractional positions:
Cu 0.000 0.000 0.000
C 0.167 0.167 0.167
C 0.833 0.833 0.833

Which structure is the most stable? The one labeled (B).

(A)
Entry from the Alexandria database: an optimized crystal structure of CuTe2CI (GGA-PBEsol).

## Properties
Theoretical density, g cm⁻³: 5.81
D(E_F), states/eV/cell: 5.4
Spin magnetization, μB per formula unit: 1.17

abc: 5.045 5.045 5.138
angles: 90.00 90.00 90.00
Fractional positions:
Cu 0.000 0.000 0.000
Te 0.000 0.500 0.000
Te 0.500 0.000 0.000
C 0.500 0.500 0.500
I 0.000 0.000 0.500

(B)
Entry from the Alexandria database: an optimized crystal structure of CuTe2CI (GGA-PBEsol).

## Properties
Theoretical density, g cm⁻³: 7.16
D(E_F), states/eV/cell: 4.1
Spin magnetization, μB per formula unit: 0.00

abc: 4.776 4.776 4.656
angles: 90.00 90.00 90.00
Fractional positions:
Cu 0.000 0.000 0.000
Te 0.000 0.500 0.500
Te 0.500 0.000 0.500
C 0.500 0.500 0.500
I 0.500 0.500 0.000

Which structure is the most stable? The one labeled (B).

(A)
Entry from the Alexandria database: an optimized crystal structure of LiCuCO3 (GGA-PBEsol).

## Properties
Theoretical density, g cm⁻³: 3.46
D(E_F), states/eV/cell: 0.0
Spin magnetization, μB per formula unit: 0.00

abc: 9.300 9.300 9.300
angles: 146.75 145.22 48.88
Fractional positions:
Li 0.250 0.498 0.248
Li 0.250 0.998 0.748
Li 0.750 0.002 0.252
Li 0.750 0.502 0.752
Cu 0.136 0.250 0.386
Cu 0.364 0.750 0.114
Cu 0.636 0.250 0.886
Cu 0.864 0.750 0.614
C 0.110 0.360 0.750
C 0.390 0.140 0.250
C 0.610 0.860 0.750
C 0.890 0.640 0.250
O 0.025 0.219 0.455
O 0.032 0.282 0.750
O 0.237 0.281 0.306
O 0.263 0.570 0.045
O 0.468 0.218 0.250
O 0.475 0.930 0.194
O 0.525 0.070 0.806
O 0.532 0.782 0.750
O 0.737 0.430 0.955
O 0.763 0.719 0.694
O 0.968 0.718 0.250
O 0.975 0.781 0.545

(B)
Entry from the Alexandria database: an optimized crystal structure of LiCuCO3 (GGA-PBEsol).

## Properties
Theoretical density, g cm⁻³: 3.25
D(E_F), states/eV/cell: 0.0
Spin magnetization, μB per formula unit: 0.00

abc: 3.906 3.906 8.810
angles: 90.00 90.00 97.35
Fractional positions:
Li 0.250 0.750 0.867
Li 0.750 0.250 0.133
Cu 0.000 0.500 0.500
Cu 0.500 0.000 0.500
C 0.250 0.750 0.220
C 0.750 0.250 0.780
O 0.028 0.528 0.292
O 0.250 0.750 0.077
O 0.472 0.972 0.292
O 0.528 0.028 0.708
O 0.750 0.250 0.923
O 0.972 0.472 0.708

(C)
Entry from the Alexandria database: an optimized crystal structure of LiCuCO3 (GGA-PBEsol).

## Properties
Theoretical density, g cm⁻³: 3.77
D(E_F), states/eV/cell: 0.0
Spin magnetization, μB per formula unit: 0.00

abc: 4.637 3.002 16.568
angles: 90.00 95.47 90.00
Fractional positions:
Li 0.176 0.246 0.061
Li 0.176 0.254 0.561
Li 0.824 0.746 0.439
Li 0.824 0.754 0.939
Cu 0.297 0.682 0.722
Cu 0.297 0.818 0.222
Cu 0.703 0.182 0.778
Cu 0.703 0.318 0.278
C 0.282 0.168 0.383
C 0.282 0.332 0.883
C 0.718 0.668 0.117
C 0.718 0.832 0.617
O 0.139 0.509 0.819
O 0.139 0.991 0.319
O 0.149 0.242 0.445
O 0.149 0.258 0.945
O 0.442 0.741 0.618
O 0.442 0.759 0.118
O 0.558 0.241 0.882
O 0.558 0.259 0.382
O 0.851 0.742 0.055
O 0.851 0.758 0.555
O 0.861 0.009 0.681
O 0.861 0.491 0.181

Which structure is the most stable? The one labeled (C).

(A)
Entry from the Alexandria database: an optimized crystal structure of LiCuCO3 (GGA-PBEsol).

## Properties
Theoretical density, g cm⁻³: 3.75
D(E_F), states/eV/cell: 0.0
Spin magnetization, μB per formula unit: 0.00

abc: 2.959 14.235 14.243
angles: 60.04 89.47 89.00
Fractional positions:
Li 0.000 0.000 0.000
Li 0.004 0.019 0.678
Li 0.008 0.686 0.974
Li 0.021 0.353 0.005
Li 0.053 0.682 0.332
Li 0.072 0.359 0.635
Li 0.958 0.317 0.337
Li 0.964 0.014 0.318
Li 0.988 0.657 0.671
Cu 0.369 0.109 0.443
Cu 0.426 0.124 0.781
Cu 0.437 0.794 0.766
Cu 0.446 0.449 0.771
Cu 0.503 0.775 0.114
Cu 0.511 0.796 0.442
Cu 0.539 0.125 0.093
Cu 0.575 0.454 0.112
Cu 0.647 0.462 0.428
C 0.035 0.896 0.562
C 0.071 0.243 0.875
C 0.475 0.226 0.216
C 0.506 0.899 0.217
C 0.509 0.565 0.883
C 0.510 0.898 0.891
C 0.513 0.232 0.550
C 0.543 0.573 0.543
C 0.970 0.557 0.213
O 0.031 0.802 0.650
O 0.060 0.331 0.882
O 0.076 0.639 0.222
O 0.148 0.980 0.569
O 0.194 0.251 0.783
O 0.438 0.127 0.296
O 0.468 0.243 0.454
O 0.470 0.306 0.234
O 0.486 0.917 0.297
O 0.493 0.137 0.635
O 0.494 0.580 0.786
O 0.498 0.978 0.909
O 0.499 0.653 0.562
O 0.509 0.916 0.792
O 0.511 0.648 0.897
O 0.516 0.800 0.235
O 0.518 0.979 0.118
O 0.519 0.244 0.117
O 0.521 0.468 0.966
O 0.522 0.799 0.971
O 0.555 0.474 0.623
O 0.574 0.591 0.444
O 0.578 0.316 0.560
O 0.853 0.466 0.297
O 0.933 0.905 0.470
O 0.964 0.152 0.957
O 0.974 0.563 0.118

(B)
Entry from the Alexandria database: an optimized crystal structure of LiCuCO3 (GGA-PBEsol).

## Properties
Theoretical density, g cm⁻³: 3.16
Spin magnetization, μB per formula unit: 0.00

abc: 5.579 6.442 9.030
angles: 90.00 122.19 90.00
Fractional positions:
Li 0.147 0.239 0.203
Li 0.147 0.261 0.703
Li 0.853 0.739 0.297
Li 0.853 0.761 0.797
Cu 0.283 0.024 0.496
Cu 0.283 0.476 0.996
Cu 0.717 0.524 0.004
Cu 0.717 0.976 0.504
C 0.239 0.668 0.697
C 0.239 0.832 0.197
C 0.761 0.168 0.803
C 0.761 0.332 0.303
O 0.096 0.733 0.052
O 0.096 0.767 0.552
O 0.100 0.565 0.755
O 0.100 0.935 0.255
O 0.488 0.169 0.714
O 0.488 0.331 0.214
O 0.512 0.669 0.786
O 0.512 0.831 0.286
O 0.900 0.065 0.745
O 0.900 0.435 0.245
O 0.904 0.233 0.448
O 0.904 0.267 0.948

Which structure is the most stable? The one labeled (A).

(A)
Entry from the Alexandria database: an optimized crystal structure of LiCuCO3 (GGA-PBEsol).

## Properties
Theoretical density, g cm⁻³: 3.72
D(E_F), states/eV/cell: 0.0
Spin magnetization, μB per formula unit: 0.00

abc: 4.979 5.090 5.797
angles: 111.38 91.26 118.60
Fractional positions:
Li 0.229 0.329 0.230
Li 0.771 0.671 0.770
Cu 0.436 0.971 0.762
Cu 0.564 0.029 0.238
C 0.090 0.315 0.748
C 0.910 0.685 0.252
O 0.106 0.098 0.804
O 0.170 0.686 0.266
O 0.333 0.529 0.704
O 0.667 0.471 0.296
O 0.830 0.314 0.734
O 0.894 0.902 0.196

(B)
Entry from the Alexandria database: an optimized crystal structure of LiCuCO3 (GGA-PBEsol).

## Properties
Theoretical density, g cm⁻³: 3.82
D(E_F), states/eV/cell: 0.0
Spin magnetization, μB per formula unit: 0.00

abc: 8.191 8.191 2.926
angles: 90.00 90.00 120.00
Fractional positions:
Li 0.005 0.370 0.000
Li 0.365 0.995 0.000
Li 0.630 0.635 0.000
Cu 0.000 0.688 0.500
Cu 0.312 0.312 0.500
Cu 0.688 0.000 0.500
C 0.000 0.000 0.000
C 0.333 0.667 0.500
C 0.667 0.333 0.500
O 0.184 0.089 0.000
O 0.213 0.487 0.500
O 0.275 0.787 0.500
O 0.513 0.725 0.500
O 0.560 0.152 0.500
O 0.592 0.440 0.500
O 0.848 0.408 0.500
O 0.906 0.816 0.000
O 0.911 0.094 0.000

Which structure is the most stable? The one labeled (A).